# 1
K2BePd | PBE | optimized geometry

Cell: 11.547 11.547 11.547 Å, 158.93 158.93 29.97°
Sites, in units of the cell vectors:
K 0.122 0.625 0.997
K 0.375 0.372 0.497
K 0.628 0.125 0.003
K 0.875 0.878 0.503
Be 0.250 0.750 0.500
Be 0.500 0.500 0.000
Pd 0.000 0.000 0.000
Pd 0.750 0.250 0.500

Values from the calculation:
For the total moment, the calculation gives 0.00 μB per cell. The value obtained for the density of states at the Fermi level is 3.12 states/eV/cell. Its space group is I-42d, No. 122. The value obtained for the energy of formation from the pure elements is 852 meV/atom. As for the total energy: -1.927 eV per atom.

# 2
RbYCl2O | PBE | optimized geometry

Cell: 5.794 5.794 4.047 Å, 90.00 90.00 90.00°
Sites, in units of the cell vectors:
Rb 0.000 0.000 0.000
Y 0.500 0.500 0.000
Cl 0.000 0.500 0.500
Cl 0.500 0.000 0.500
O 0.000 0.000 0.500

Values from the calculation:
For the total moment, the calculation gives 0.00 μB per cell. The value obtained for the density of states at the Fermi level is 0.68 states/eV/cell. The value obtained for the formation energy without anion corrections is -0.229 eV/atom. Its space group is P4/mmm, No. 123. As for the total energy: -3.446 eV per atom.

# 3
LaIrBr | PBE | optimized geometry

Cell: 6.708 6.708 6.708 Å, 149.92 149.92 43.06°
Sites, in units of the cell vectors:
La 0.000 0.000 0.000
Ir 0.635 0.635 0.000
Br 0.330 0.330 0.000

Values from the calculation:
For the total moment, the calculation gives 0.06 μB per cell. The value obtained for the density of states at the Fermi level is 1.26 states/eV/cell. The value obtained for the formation energy without anion corrections is -0.444 eV/atom. Its space group is I4mm, No. 107. As for the total energy: -5.598 eV per atom. The value obtained for the energy above the most stable polymorph in this dataset is 86.2 kJ per mole of atoms.